1.
First-principles (PBE-GGA) data for an optimized crystal structure of V2Cr6Mo, as listed in Alexandria.

a = 6.4341 Å, b = 9.0960 Å, c = 4.1151 Å
α = 90.00°, β = 90.00°, γ = 90.00°
Last column: nearest neighbours and their distance in Å.
Space group Cmmm (No. 65)
Unique sites:
V: 0.0000 0.2360 0.0000 [4 per cell]  6 Cr 2.56-2.67
Cr: 0.1662 0.3566 0.5000 [8 per cell]  2 Cr 2.14-2.22
Cr: 0.2457 0.0000 0.0000 [4 per cell]  4 Cr 2.50, 2 Mo 2.59, 2 V 2.67
Mo: 0.0000 0.0000 0.5000 [2 per cell]  8 Cr 2.51-2.59

---

2.
First-principles (PBE-GGA) data for an optimized crystal structure of V5CrMo6, as listed in Alexandria.

a = 4.3295 Å, b = 6.1208 Å, c = 13.0351 Å
α = 90.00°, β = 90.00°, γ = 90.00°
Last column: nearest neighbours and their distance in Å.
Space group Immm (No. 71)
Unique sites:
V: 0.0000 0.0000 0.0000 [2 per cell]  8 Mo 2.65-2.66
V: 0.0000 0.0000 0.3336 [4 per cell]  8 Mo 2.65-2.68
V: 0.0000 0.5000 0.3335 [4 per cell]  8 Mo 2.65-2.67
Cr: 0.0000 0.5000 0.0000 [2 per cell]  8 Mo 2.64
Mo: 0.0000 0.2478 0.5000 [4 per cell]  2 Cr 2.64, 6 V 2.65-2.66
Mo: 0.0000 0.2511 0.1656 [8 per cell]  1 Cr 2.64, 7 V 2.65-2.68

---

3.
First-principles (PBE-GGA) data for an optimized crystal structure of V6CrMo, as listed in Alexandria.

a = 8.7663 Å, b = 8.7663 Å, c = 4.9662 Å
α = 90.00°, β = 90.00°, γ = 120.00°
Last column: nearest neighbours and their distance in Å.
Space group R-3m (No. 166, hexagonal axes)
Unique sites:
V: 0.0055 0.5028 0.2503 [18 per cell]  6 V 2.48-2.70, 1 Cr 2.52, 1 Mo 2.61
Cr: 0.0000 0.0000 0.5000 [3 per cell]  2 Mo 2.48, 6 V 2.52
Mo: 0.0000 0.0000 0.0000 [3 per cell]  2 Cr 2.48, 6 V 2.61

Offset from the most stable computed form in eV/atom: 0.183

---

4.
First-principles (PBE-GGA) data for an optimized crystal structure of V4Cr2Mo5, as listed in Alexandria.

a = 3.0095 Å, b = 6.8827 Å, c = 8.2909 Å
α = 70.69°, β = 80.53°, γ = 87.92°
Last column: nearest neighbours and their distance in Å.
Space group P-1 (No. 2)
Unique sites:
V: 0.0725 0.2451 0.2704 [2 per cell]  1 Cr 2.34, 3 Mo 2.54-2.58
V: 0.0883 0.7940 0.3288 [2 per cell]  2 Cr 2.51, 4 Mo 2.67-2.76
Cr: 0.3985 0.4373 0.4074 [2 per cell]  1 Cr 2.17, 1 V 2.34, 1 Mo 2.42
Mo: 0.2865 0.3998 0.8948 [2 per cell]  1 Cr 2.42, 1 V 2.66, 1 Mo 2.68
Mo: 0.3089 0.9210 0.9049 [2 per cell]  4 V 2.55-2.73, 4 Mo 2.61-2.78
Mo: 0.5000 0.0000 0.5000 [1 per cell]  8 V 2.54-2.76

---

5.
First-principles (PBE-GGA) data for an optimized crystal structure of V6Cr2Mo, as listed in Alexandria.

a = 2.5584 Å, b = 6.6851 Å, c = 7.3496 Å
α = 101.57°, β = 91.09°, γ = 100.38°
Last column: nearest neighbours and their distance in Å.
Space group P-1 (No. 2)
Unique sites:
V: 0.0517 0.1685 0.1196 [2 per cell]  1 Cr 2.46, 3 V 2.53-2.56, 1 Mo 2.63
V: 0.2917 0.4927 0.6589 [2 per cell]  2 Cr 2.47-2.64, 1 Mo 2.54, 3 V 2.56-2.60
V: 0.3886 0.8448 0.2381 [2 per cell]  2 Cr 2.43-2.48, 2 V 2.56, 1 Mo 2.66
Cr: 0.1310 0.8335 0.5537 [2 per cell]  5 V 2.43-2.64, 3 Cr 2.56-2.69
Mo: 0.5000 0.5000 0.0000 [1 per cell]  6 V 2.54-2.66, 2 Mo 2.56

Offset from the most stable computed form in eV/atom: 0.000

---

6.
First-principles (PBE-GGA) data for an optimized crystal structure of V2CrMo8, as listed in Alexandria.

a = 5.6749 Å, b = 5.6749 Å, c = 5.8814 Å
α = 90.00°, β = 90.00°, γ = 90.00°
Last column: nearest neighbours and their distance in Å.
Space group P4/mmm (No. 123)
Unique sites:
V: 0.0000 0.5000 0.0000 [2 per cell]  8 Mo 2.55
Cr: 0.0000 0.0000 0.5000 [1 per cell]  8 Mo 2.52
Mo: 0.2635 0.2635 0.2681 [8 per cell]  1 Cr 2.52, 2 V 2.55, 3 Mo 2.68-2.73

---

7.
First-principles (PBE-GGA) data for an optimized crystal structure of VCrMo2, as listed in Alexandria.

a = 6.7996 Å, b = 6.7996 Å, c = 5.2529 Å
α = 90.00°, β = 90.00°, γ = 90.00°
Last column: nearest neighbours and their distance in Å.
Space group I-42d (No. 122)
Unique sites:
V: 0.0000 0.0000 0.0000 [4 per cell]  4 Mo 2.55, 2 Cr 2.63
Cr: 0.0000 0.0000 0.5000 [4 per cell]  4 Mo 2.43, 2 V 2.63
Mo: 0.2367 0.2500 0.6250 [8 per cell]  2 Cr 2.43, 2 V 2.55, 2 Mo 2.63

Offset from the most stable computed form in eV/atom: 0.749

---

8.
First-principles (PBE-GGA) data for an optimized crystal structure of VCrMo, as listed in Alexandria.

a = 3.0195 Å, b = 4.3628 Å, c = 12.4667 Å
α = 90.00°, β = 90.00°, γ = 90.00°
Last column: nearest neighbours and their distance in Å.
Space group Fmm2 (No. 42)
Unique sites:
V: 0.0000 0.0000 0.0000 [4 per cell]  2 Cr 2.46, 4 V 2.65, 2 Mo 2.67
Cr: 0.0000 0.0000 0.6556 [4 per cell]  2 V 2.46, 2 Mo 2.58, 4 Cr 2.65
Mo: 0.0000 0.0000 0.3237 [4 per cell]  2 Cr 2.58, 4 Mo 2.65, 2 V 2.67

Offset from the most stable computed form in eV/atom: 0.045

---

9.
First-principles (PBE-GGA) data for an optimized crystal structure of V2Cr8Mo, as listed in Alexandria.

a = 14.8364 Å, b = 2.9048 Å, c = 6.5064 Å
α = 90.00°, β = 105.35°, γ = 90.00°
Last column: nearest neighbours and their distance in Å.
Space group C2/m (No. 12)
Unique sites:
V: 0.2266 0.0000 0.1400 [4 per cell]  6 Cr 2.49-2.52, 2 V 2.57
Cr: 0.0462 0.0000 0.2196 [4 per cell]  6 Cr 2.46-2.53, 2 Mo 2.56
Cr: 0.0902 0.5000 0.9559 [4 per cell]  6 Cr 2.46-2.54, 2 V 2.52
Cr: 0.1387 0.0000 0.6834 [4 per cell]  2 V 2.49, 4 Cr 2.50-2.54, 2 Mo 2.54
Cr: 0.1821 0.5000 0.4110 [4 per cell]  6 Cr 2.50-2.53, 2 V 2.50
Mo: 0.0000 0.5000 0.5000 [2 per cell]  8 Cr 2.54-2.56

---

10.
First-principles (PBE-GGA) data for an optimized crystal structure of VCrMo2, as listed in Alexandria.

a = 4.3124 Å, b = 4.3124 Å, c = 3.0423 Å
α = 90.00°, β = 90.00°, γ = 90.00°
Last column: nearest neighbours and their distance in Å.
Space group P4/mmm (No. 123)
Unique sites:
V: 0.0000 0.0000 0.0000 [1 per cell]  8 Mo 2.64
Cr: 0.5000 0.5000 0.0000 [1 per cell]  8 Mo 2.64
Mo: 0.0000 0.5000 0.5000 [2 per cell]  4 Cr 2.64, 4 V 2.64

Offset from the most stable computed form in eV/atom: 0.000

---

11.
First-principles (PBE-GGA) data for an optimized crystal structure of V6Cr4Mo, as listed in Alexandria.

a = 5.7840 Å, b = 5.7840 Å, c = 9.4408 Å
α = 90.00°, β = 90.00°, γ = 90.00°
Last column: nearest neighbours and their distance in Å.
Space group I-42m (No. 121)
Unique sites:
V: 0.0000 0.5000 0.0000 [4 per cell]  4 Cr 2.29
V: 0.1867 0.1867 0.2162 [8 per cell]  3 Cr 2.25-2.41
Cr: 0.1670 0.1670 0.9177 [8 per cell]  5 V 2.25-2.41, 2 Cr 2.48
Mo: 0.0000 0.0000 0.5000 [2 per cell]  4 Cr 2.83, 8 V 2.89-3.08

---

12.
First-principles (PBE-GGA) data for an optimized crystal structure of VCrMo3, as listed in Alexandria.

a = 4.4549 Å, b = 4.4549 Å, c = 4.4549 Å
α = 90.00°, β = 90.00°, γ = 90.00°
Last column: nearest neighbours and their distance in Å.
Space group Pm-3m (No. 221)
Unique sites:
V: 0.0000 0.0000 0.0000 [1 per cell]  12 Mo 3.15
Cr: 0.5000 0.5000 0.5000 [1 per cell]  6 Mo 2.23
Mo: 0.0000 0.5000 0.5000 [3 per cell]  2 Cr 2.23

Offset from the most stable computed form in eV/atom: 0.885

---

13.
First-principles (PBE-GGA) data for an optimized crystal structure of V4CrMo3, as listed in Alexandria.

a = 3.0389 Å, b = 3.0389 Å, c = 12.1378 Å
α = 90.00°, β = 90.00°, γ = 90.00°
Last column: nearest neighbours and their distance in Å.
Space group P4/mmm (No. 123)
Unique sites:
V: 0.0000 0.0000 0.1176 [2 per cell]  4 Cr 2.58, 4 Mo 2.65, 1 V 2.85
V: 0.0000 0.0000 0.3723 [2 per cell]  8 Mo 2.65
Cr: 0.5000 0.5000 0.0000 [1 per cell]  8 V 2.58
Mo: 0.5000 0.5000 0.2451 [2 per cell]  8 V 2.65
Mo: 0.5000 0.5000 0.5000 [1 per cell]  8 V 2.65

---

14.
First-principles (PBE-GGA) data for an optimized crystal structure of V8CrMo2, as listed in Alexandria.

a = 4.8296 Å, b = 13.5117 Å, c = 4.6981 Å
α = 90.00°, β = 90.00°, γ = 90.00°
Last column: nearest neighbours and their distance in Å.
Space group Cmmm (No. 65)
Unique sites:
V: 0.0000 0.0000 0.2460 [4 per cell]  2 V 2.31-2.39
V: 0.0000 0.4067 0.0000 [4 per cell]  5 V 2.52-2.78, 2 Cr 2.67, 3 Mo 2.80-2.81
V: 0.2456 0.3397 0.5000 [8 per cell]  3 V 2.37-2.46, 1 Cr 2.47
Cr: 0.0000 0.5000 0.5000 [2 per cell]  12 V 2.47-2.69
Mo: 0.0000 0.1984 0.0000 [4 per cell]  9 V 2.70-2.92, 2 Mo 2.79

Offset from the most stable computed form in eV/atom: 0.000

---

15.
First-principles (PBE-GGA) data for an optimized crystal structure of V5CrMo, as listed in Alexandria.

a = 4.1434 Å, b = 4.1434 Å, c = 5.9952 Å
α = 90.00°, β = 90.00°, γ = 90.00°
Last column: nearest neighbours and their distance in Å.
Space group P4/mmm (No. 123)
Unique sites:
V: 0.0000 0.0000 0.0000 [1 per cell]  8 V 2.54
V: 0.0000 0.5000 0.2458 [4 per cell]  2 Cr 2.54, 2 V 2.54, 2 Mo 2.57
Cr: 0.5000 0.5000 0.0000 [1 per cell]  8 V 2.54
Mo: 0.0000 0.0000 0.5000 [1 per cell]  8 V 2.57

---

16.
First-principles (PBE-GGA) data for an optimized crystal structure of V3Cr2Mo4, as listed in Alexandria.

a = 11.3301 Å, b = 9.6396 Å, c = 4.8751 Å
α = 90.00°, β = 102.38°, γ = 90.00°
Last column: nearest neighbours and their distance in Å.
Space group C2/c (No. 15)
Unique sites:
V: 0.0000 0.0003 0.2500 [4 per cell]  2 V 2.44
V: 0.0987 0.4346 0.0425 [8 per cell]  2 Cr 2.44-2.71, 2 Mo 2.49-2.70, 1 V 2.52
Cr: 0.2187 0.0850 0.5881 [8 per cell]  3 Mo 2.39-2.50, 1 V 2.44
Mo: 0.0741 0.2688 0.5378 [8 per cell]  1 Cr 2.39, 1 V 2.49
Mo: 0.1723 0.1681 0.0897 [8 per cell]  3 Cr 2.50-2.73, 1 Mo 2.65, 3 V 2.70-2.79

---

17.
First-principles (PBE-GGA) data for an optimized crystal structure of VCrMo, as listed in Alexandria.

a = 4.2187 Å, b = 4.2187 Å, c = 2.6522 Å
α = 90.00°, β = 90.00°, γ = 120.00°
Last column: nearest neighbours and their distance in Å.
Space group P3m1 (No. 156)
Unique sites:
V: 0.0000 0.0000 0.0000 [1 per cell]  3 Mo 2.59, 3 Cr 2.60, 2 V 2.65
Cr: 0.3333 0.6667 0.6604 [1 per cell]  3 Mo 2.58, 3 V 2.60, 2 Cr 2.65
Mo: 0.6667 0.3333 0.3357 [1 per cell]  3 Cr 2.58, 3 V 2.59, 2 Mo 2.65

Offset from the most stable computed form in eV/atom: 0.021

---

18.
First-principles (PBE-GGA) data for an optimized crystal structure of V3CrMo8, as listed in Alexandria.

a = 5.8909 Å, b = 5.8909 Å, c = 11.8157 Å
α = 90.00°, β = 90.00°, γ = 90.00°
Last column: nearest neighbours and their distance in Å.
Space group I4/mmm (No. 139)
Unique sites:
V: 0.0000 0.0000 0.0000 [2 per cell]  8 Mo 2.56
V: 0.0000 0.5000 0.2500 [4 per cell]  8 Mo 2.56
Cr: 0.0000 0.0000 0.5000 [2 per cell]  8 Mo 2.53
Mo: 0.2473 0.2473 0.3762 [16 per cell]  1 Cr 2.53, 3 V 2.56

---

19.
First-principles (PBE-GGA) data for an optimized crystal structure of V3Cr2Mo, as listed in Alexandria.

a = 2.9695 Å, b = 2.9695 Å, c = 8.9244 Å
α = 90.00°, β = 90.00°, γ = 90.00°
Last column: nearest neighbours and their distance in Å.
Space group P4/mmm (No. 123)
Unique sites:
V: 0.0000 0.0000 0.0000 [1 per cell]  8 Cr 2.55
V: 0.0000 0.0000 0.3222 [2 per cell]  4 Cr 2.54, 4 Mo 2.63
Cr: 0.5000 0.5000 0.1624 [2 per cell]  8 V 2.54-2.55
Mo: 0.5000 0.5000 0.5000 [1 per cell]  8 V 2.63

---

20.
First-principles (PBE-GGA) data for an optimized crystal structure of V4Cr2Mo3, as listed in Alexandria.

a = 9.0738 Å, b = 4.2506 Å, c = 6.5917 Å
α = 90.00°, β = 102.26°, γ = 90.00°
Last column: nearest neighbours and their distance in Å.
Space group C2/m (No. 12)
Unique sites:
V: 0.1139 0.0000 0.1669 [4 per cell]  3 Cr 2.59, 3 Mo 2.62-2.65, 2 V 2.65-2.68
V: 0.1672 0.5000 0.4951 [4 per cell]  1 Cr 2.57, 3 V 2.60-2.65, 4 Mo 2.62-2.68
Cr: 0.2223 0.0000 0.8329 [4 per cell]  4 V 2.57-2.59, 4 Mo 2.59-2.65
Mo: 0.0000 0.0000 0.5000 [2 per cell]  6 V 2.62, 2 Cr 2.65
Mo: 0.0608 0.5000 0.8375 [4 per cell]  3 Cr 2.59-2.60, 1 Mo 2.61, 4 V 2.64-2.68

Offset from the most stable computed form in eV/atom: 0.000

---

21.
First-principles (PBE-GGA) data for an optimized crystal structure of V5Cr4Mo, as listed in Alexandria.

a = 2.9478 Å, b = 2.9478 Å, c = 14.7734 Å
α = 90.00°, β = 90.00°, γ = 90.00°
Last column: nearest neighbours and their distance in Å.
Space group P4/mmm (No. 123)
Unique sites:
V: 0.0000 0.0000 0.0000 [1 per cell]  8 Cr 2.54
V: 0.0000 0.0000 0.1958 [2 per cell]  8 Cr 2.54-2.55
V: 0.0000 0.0000 0.3916 [2 per cell]  4 Cr 2.53, 4 Mo 2.63
Cr: 0.5000 0.5000 0.0980 [2 per cell]  8 V 2.54
Cr: 0.5000 0.5000 0.2948 [2 per cell]  8 V 2.53-2.55
Mo: 0.5000 0.5000 0.5000 [1 per cell]  8 V 2.63

---

22.
First-principles (PBE-GGA) data for an optimized crystal structure of VCr3Mo2, as listed in Alexandria.

a = 4.2352 Å, b = 12.6530 Å, c = 2.9887 Å
α = 90.00°, β = 90.00°, γ = 90.00°
Last column: nearest neighbours and their distance in Å.
Space group Cmmm (No. 65)
Unique sites:
V: 0.0000 0.0000 0.0000 [2 per cell]  8 Cr 2.56-2.59
Cr: 0.0000 0.1646 0.5000 [4 per cell]  2 V 2.56, 6 Mo 2.59-2.62
Cr: 0.0000 0.5000 0.5000 [2 per cell]  4 Mo 2.57, 4 V 2.59
Mo: 0.0000 0.3350 0.0000 [4 per cell]  8 Cr 2.57-2.62

---

23.
First-principles (PBE-GGA) data for an optimized crystal structure of V15Cr4Mo, as listed in Alexandria.

a = 4.2009 Å, b = 4.2009 Å, c = 14.8889 Å
α = 90.00°, β = 90.00°, γ = 90.00°
Last column: nearest neighbours and their distance in Å.
Space group P4/mmm (No. 123)
Unique sites:
V: 0.0000 0.0000 0.0000 [1 per cell]  8 V 2.62
V: 0.0000 0.0000 0.2021 [2 per cell]  8 V 2.55-2.58
V: 0.0000 0.0000 0.4011 [2 per cell]  8 V 2.56
V: 0.0000 0.5000 0.1047 [4 per cell]  4 V 2.55-2.62, 2 Cr 2.57, 2 Mo 2.62
V: 0.0000 0.5000 0.3025 [4 per cell]  4 Cr 2.56, 4 V 2.56-2.58
V: 0.0000 0.5000 0.5000 [2 per cell]  4 Cr 2.56, 4 V 2.56
Cr: 0.5000 0.5000 0.2041 [2 per cell]  8 V 2.56-2.57
Cr: 0.5000 0.5000 0.4012 [2 per cell]  8 V 2.56
Mo: 0.5000 0.5000 0.0000 [1 per cell]  8 V 2.62

---

It is found that the final energy values, taken in the order of the records, are -9.17, -10.13, -9.26, -9.84, -9.38, -9.52, -9.42, -9.88, -9.67, -10.16, -8.91, -8.98, -9.93, -9.43, -9.14, -9.84, -9.91, -9.52, -9.65, -9.89, -9.57, -9.96, -9.35 eV per atom.
It is found that the ΔE_f values, taken in the order of the records, are 0.47, -0.11, 0.14, 0.14, 0.04, 0.89, 0.69, -0.03, -0.02, -0.06, 0.55, 1.27, -0.10, 0.05, 0.30, 0.15, -0.05, 0.78, -0.08, -0.09, -0.08, -0.02, -0.04 eV per atom.